# Y4TcPb

An optimized crystal structure of Y4TcPb (PBE, Alexandria via LeMat-Bulk).

- energy of formation from the pure elements (eV/f.u.) = 3.91
- Fermi-level density of states (states/eV/atom) = 1.02

```
Y4TcPb
1.0
0.000 4.340 4.340
4.340 0.000 4.340
4.340 4.340 0.000
Y Tc Pb
4 1 1
direct
0.376 0.376 0.376
0.376 0.376 0.872
0.376 0.872 0.376
0.872 0.376 0.376
0.750 0.750 0.750
0.000 0.000 0.000
```

# YTcPb2

An optimized crystal structure of YTcPb2 (PBE, Alexandria via LeMat-Bulk).

- energy of formation from the pure elements (eV/f.u.) = 0.52
- Fermi-level density of states (states/eV/atom) = 0.87

```
YTcPb2
1.0
3.585 0.000 0.000
0.000 3.585 0.000
0.000 0.000 7.654
Y Tc Pb
1 1 2
direct
0.000 0.000 0.000
0.500 0.500 0.776
0.000 0.000 0.594
0.500 0.500 0.297
```

# YTcPb

An optimized crystal structure of YTcPb (PBE, Alexandria via LeMat-Bulk).

- energy of formation from the pure elements (eV/f.u.) = 0.07
- Fermi-level density of states (states/eV/atom) = 0.08

```
YTcPb
1.0
3.604 0.000 0.000
0.000 3.604 0.000
0.000 0.000 10.243
Y Tc Pb
2 2 2
direct
0.000 0.000 0.000
0.500 0.500 0.500
0.000 0.000 0.338
0.500 0.500 0.838
0.000 0.000 0.698
0.500 0.500 0.198
```

# Y2TcPb

An optimized crystal structure of Y2TcPb (PBE, Alexandria via LeMat-Bulk).

- energy of formation from the pure elements (eV/f.u.) = -0.18
- Fermi-level density of states (states/eV/atom) = 1.25

```
Y2TcPb
1.0
3.532 0.000 0.000
0.000 5.021 0.000
0.000 0.000 11.255
Y Tc Pb
4 2 2
direct
0.000 0.000 0.000
0.000 0.500 0.207
0.500 0.000 0.707
0.500 0.500 0.500
0.000 0.000 0.496
0.500 0.500 0.996
0.000 0.500 0.796
0.500 0.000 0.296
```